The following is a PBE calculation of a relaxed structure of YBeFeB, from the Open Quantum Materials Database.

The structure in extended XYZ format:
```
4
Lattice="1.589 -1.744 3.438 2.422 2.243 2.547 -1.411 1.134 3.756" Properties=species:S:1:pos:R:3 pbc="T T T"
B 0.000 0.000 0.000
Be 1.301 0.817 4.871
Fe 1.951 1.225 7.306
Y 0.650 0.408 2.435
```

energy relative to the lowest polymorph listed for this composition: 0 meV/atom
total energy: -5.971 eV/atom